# 1
First-principles (PBE-GGA) data for crystalline SrSbBr2 at its relaxed geometry, as listed in Alexandria.

VASP energy (eV per formula unit): -12.4
Formation energy (no corrections) (eV per atom): -0.824
Polymorph energy (0 for the lowest one) (meV per atom): 251
Density of states at the Fermi level (states/eV per cell): 7.454
V (Å³/atom): 33.61

POSCAR file:
```
SrSbBr2
1.0
-4.308 4.308 3.622
4.308 -4.308 3.622
4.308 4.308 -3.622
Sr Sb Br
2 2 4
Direct
0.000 0.000 0.000
0.750 0.250 0.500
0.250 0.750 0.500
0.500 0.500 0.000
0.111 0.625 0.986
0.375 0.361 0.486
0.639 0.125 0.014
0.875 0.889 0.514
```


# 2
First-principles (PBE-GGA) data for crystalline Sr8Sb5Br at its relaxed geometry, as listed in Alexandria.

VASP energy (eV per formula unit): -52.2
Formation energy (no corrections) (eV per atom): -1.179
V (Å³/atom): 36.02

POSCAR file:
```
Sr8Sb5Br
1.0
-5.001 5.001 5.041
5.001 -5.001 5.041
5.001 5.001 -5.041
Sr Sb Br
8 5 1
Direct
0.006 0.895 0.261
0.105 0.366 0.110
0.123 0.379 0.603
0.255 0.994 0.890
0.480 0.877 0.256
0.621 0.225 0.744
0.634 0.745 0.739
0.775 0.520 0.397
0.250 0.750 0.500
0.384 0.264 0.382
0.736 0.117 0.119
0.883 0.002 0.618
0.998 0.616 0.881
0.500 0.500 0.000
```


# 3
First-principles (PBE-GGA) data for crystalline SrSb2Br at its relaxed geometry, as listed in Alexandria.

VASP energy (eV per formula unit): -15.0
Formation energy (no corrections) (eV per atom): -0.855
Polymorph energy (0 for the lowest one) (meV per atom): 38
Density of states at the Fermi level (states/eV per cell): 1.079
V (Å³/atom): 33.49

POSCAR file:
```
SrSb2Br
1.0
4.000 0.000 0.000
0.000 4.000 0.000
0.000 0.000 8.372
Sr Sb Br
1 2 1
Direct
0.000 0.000 0.000
0.000 0.000 0.576
0.500 0.500 0.715
0.500 0.500 0.180
```


# 4
First-principles (PBE-GGA) data for crystalline SrSb2Br at its relaxed geometry, as listed in Alexandria.

VASP energy (eV per formula unit): -11.7
Formation energy (no corrections) (eV per atom): -0.015
Polymorph energy (0 for the lowest one) (meV per atom): 878
Density of states at the Fermi level (states/eV per cell): 4.732
V (Å³/atom): 31.13

POSCAR file:
```
SrSb2Br
1.0
1.875 1.082 10.228
-1.875 1.082 10.228
0.000 -2.165 10.228
Sr Sb Br
1 2 1
Direct
0.000 0.000 0.000
0.245 0.245 0.245
0.755 0.755 0.755
0.500 0.500 0.500
```


# 5
First-principles (PBE-GGA) data for crystalline Sr2SbBr at its relaxed geometry, as listed in Alexandria.

VASP energy (eV per formula unit): -15.1
Formation energy (no corrections) (eV per atom): -1.477
V (Å³/atom): 37.11

POSCAR file:
```
Sr2SbBr
1.0
-3.287 3.287 6.868
3.287 -3.287 6.868
3.287 3.287 -6.868
Sr Sb Br
4 2 2
Direct
0.112 0.362 0.750
0.362 0.112 0.250
0.638 0.888 0.750
0.888 0.638 0.250
0.125 0.875 0.250
0.875 0.125 0.750
0.375 0.625 0.750
0.625 0.375 0.250
```


# 6
First-principles (PBE-GGA) data for crystalline SrSbBr2 at its relaxed geometry, as listed in Alexandria.

VASP energy (eV per formula unit): -12.9
Formation energy (no corrections) (eV per atom): -0.926
Polymorph energy (0 for the lowest one) (meV per atom): 149
Density of states at the Fermi level (states/eV per cell): 1.968
V (Å³/atom): 31.02

POSCAR file:
```
SrSbBr2
1.0
-2.207 2.207 6.369
2.207 -2.207 6.369
2.207 2.207 -6.369
Sr Sb Br
1 1 2
Direct
0.000 0.000 0.000
0.750 0.250 0.500
0.250 0.750 0.500
0.500 0.500 0.000
```


# 7
First-principles (PBE-GGA) data for crystalline SrSbBr3 at its relaxed geometry, as listed in Alexandria.

VASP energy (eV per formula unit): -14.0
Formation energy (no corrections) (eV per atom): -0.636
Polymorph energy (0 for the lowest one) (meV per atom): 149
Density of states at the Fermi level (states/eV per cell): 3.377
V (Å³/atom): 39.22

POSCAR file:
```
SrSbBr3
1.0
5.810 0.000 0.000
0.000 5.810 0.000
0.000 0.000 5.810
Sr Sb Br
1 1 3
Direct
0.000 0.000 0.000
0.500 0.500 0.500
0.000 0.500 0.500
0.500 0.000 0.500
0.500 0.500 0.000
```


# 8
First-principles (PBE-GGA) data for crystalline SrSbBr2 at its relaxed geometry, as listed in Alexandria.

VASP energy (eV per formula unit): -12.5
Formation energy (no corrections) (eV per atom): -0.847
Polymorph energy (0 for the lowest one) (meV per atom): 228
Density of states at the Fermi level (states/eV per cell): 3.629
V (Å³/atom): 32.52

POSCAR file:
```
SrSbBr2
1.0
4.325 0.000 0.000
0.000 4.325 0.000
0.000 0.000 6.954
Sr Sb Br
1 1 2
Direct
0.000 0.000 0.000
0.500 0.500 0.738
0.000 0.000 0.439
0.500 0.500 0.142
```


> What is the VASP energy in the third record?

-15.0 eV per formula unit